No. 1
Material: TlPt
Method: DFT, meta-GGA SCAN
State: single point on PBEsol structure

Results
- V (Å³ per cell) = 38
- formation enthalpy at 0 K (eV/atom) = 0.167

Lattice parameters (Å, degrees): 2.9528 3.6094 3.6094 97.10 90.00 90.00
Fractional coordinates of all 2 atoms:
Tl: 0.5000 0.5000 0.5000
Pt: 0.0000 0.0000 0.0000

---

No. 2
Material: Tl2Pt3
Method: DFT, meta-GGA SCAN
State: single point on PBEsol structure

Results
- V (Å³ per cell) = 383
- formation enthalpy at 0 K (eV/atom) = -0.082

Lattice parameters (Å, degrees): 5.6393 5.6393 13.8917 90.00 90.00 120.00
Fractional coordinates of all 20 atoms:
Pt: 0.8338 0.6676 0.4145
Tl: 0.0000 0.0000 0.7500
Pt: 0.3324 0.1662 0.4145
Pt: 0.6676 0.8338 0.9145
Pt: 0.8338 0.1662 0.4145
Tl: 0.6667 0.3333 0.9059
Tl: 0.6667 0.3333 0.2500
Pt: 0.8338 0.1662 0.0855
Pt: 0.3324 0.1662 0.0855
Pt: 0.1662 0.8338 0.5855
Tl: 0.3333 0.6667 0.4059
Tl: 0.3333 0.6667 0.0941
Pt: 0.1662 0.3324 0.9145
Pt: 0.8338 0.6676 0.0855
Pt: 0.1662 0.8338 0.9145
Pt: 0.1662 0.3324 0.5855
Pt: 0.6676 0.8338 0.5855
Tl: 0.6667 0.3333 0.5941
Tl: 0.3333 0.6667 0.7500
Tl: 0.0000 0.0000 0.2500

---

No. 3
Material: Tl5Pt
Method: DFT, meta-GGA SCAN
State: single point on PBEsol structure

Results
- V (Å³ per cell) = 151
- formation enthalpy at 0 K (eV/atom) = 0.041
- energy above the most stable polymorph in this dataset (meV/atom) = 23

Lattice parameters (Å, degrees): 3.3460 3.3460 13.5025 90.00 90.00 90.00
Fractional coordinates of all 6 atoms:
Tl: 0.0000 0.0000 0.1259
Pt: 0.5000 0.5000 0.0000
Tl: 0.5000 0.5000 0.6869
Tl: 0.0000 0.0000 0.5000
Tl: 0.0000 0.0000 0.8741
Tl: 0.5000 0.5000 0.3131

---

No. 4
Material: Tl5Pt
Method: DFT, meta-GGA SCAN
State: single point on PBEsol structure

Results
- V (Å³ per cell) = 154
- formation enthalpy at 0 K (eV/atom) = 0.018
- energy above the most stable polymorph in this dataset (meV/atom) = 0

Lattice parameters (Å, degrees): 3.3495 6.1473 8.5359 113.47 90.00 105.81
Fractional coordinates of all 6 atoms:
Tl: 0.1739 0.3477 0.7907
Tl: 0.8261 0.6523 0.2093
Pt: 0.5000 0.0000 0.5000
Tl: 0.5000 0.0000 0.0000
Tl: 0.8676 0.7352 0.6371
Tl: 0.1324 0.2648 0.3629

---

No. 5
Material: TlPt
Method: DFT, meta-GGA SCAN
State: single point on PBEsol structure

Results
- V (Å³ per cell) = 94
- formation enthalpy at 0 K (eV/atom) = 0.032

Lattice parameters (Å, degrees): 4.3365 4.3365 6.3026 69.88 69.88 60.00
Fractional coordinates of all 4 atoms:
Pt: 0.6655 0.6655 0.0035
Tl: 0.8957 0.8957 0.3128
Pt: 0.3345 0.3345 0.9965
Tl: 0.1043 0.1043 0.6872

---

No. 6
Material: TlPt3
Method: DFT, meta-GGA SCAN
State: single point on PBEsol structure

Results
- V (Å³ per cell) = 66
- formation enthalpy at 0 K (eV/atom) = 0.151

Lattice parameters (Å, degrees): 2.8902 3.9173 5.8232 90.00 90.00 90.00
Fractional coordinates of all 4 atoms:
Pt: 0.5000 0.5000 0.7389
Pt: 0.5000 0.5000 0.2611
Tl: 0.0000 0.0000 0.0000
Pt: 0.0000 0.0000 0.5000

---

No. 7
Material: Tl2Pt
Method: DFT, meta-GGA SCAN
State: single point on PBEsol structure

Results
- V (Å³ per cell) = 141
- formation enthalpy at 0 K (eV/atom) = -0.018

Lattice parameters (Å, degrees): 5.4502 5.7636 5.7636 77.08 61.78 61.78
Fractional coordinates of all 6 atoms:
Pt: 0.5000 0.0000 0.0000
Pt: 0.0000 0.0000 0.0000
Tl: 0.3439 0.5000 0.8122
Tl: 0.1561 0.1878 0.5000
Tl: 0.8439 0.8122 0.5000
Tl: 0.6561 0.5000 0.1878

---

No. 8
Material: TlPt3
Method: DFT, meta-GGA SCAN
State: single point on PBEsol structure

Results
- V (Å³ per cell) = 67
- formation enthalpy at 0 K (eV/atom) = 0.196

Lattice parameters (Å, degrees): 2.8371 5.2907 5.2907 116.88 100.30 100.30
Fractional coordinates of all 4 atoms:
Pt: 0.5000 0.5000 0.5000
Pt: 0.0000 0.5000 0.0000
Pt: 0.0000 0.0000 0.5000
Tl: 0.5000 0.0000 0.0000

---

No. 9
Material: Tl2Pt
Method: DFT, meta-GGA SCAN
State: single point on PBEsol structure

Results
- V (Å³ per cell) = 153
- formation enthalpy at 0 K (eV/atom) = -0.058

Lattice parameters (Å, degrees): 3.5914 6.2044 6.8616 90.00 90.00 90.00
Fractional coordinates of all 6 atoms:
Tl: 0.0000 0.7833 0.3405
Tl: 0.5000 0.7167 0.8405
Pt: 0.5000 0.5000 0.5000
Tl: 0.0000 0.2167 0.6595
Tl: 0.5000 0.2833 0.1595
Pt: 0.0000 0.0000 0.0000

---

No. 10
Material: TlPt3
Method: DFT, meta-GGA SCAN
State: single point on PBEsol structure

Results
- V (Å³ per cell) = 66
- formation enthalpy at 0 K (eV/atom) = 0.148

Lattice parameters (Å, degrees): 2.8803 4.8064 5.5301 115.76 105.10 90.00
Fractional coordinates of all 4 atoms:
Tl: 0.0000 0.6531 0.0000
Pt: 0.7539 0.7649 0.5078
Pt: 0.2461 0.2571 0.4922
Pt: 0.5000 0.1583 0.0000

---

No. 11
Material: Tl2Pt
Method: DFT, meta-GGA SCAN
State: single point on PBEsol structure

Results
- V (Å³ per cell) = 301
- formation enthalpy at 0 K (eV/atom) = -0.109

Lattice parameters (Å, degrees): 6.6982 6.6982 6.6982 90.00 90.00 90.00
Fractional coordinates of all 12 atoms:
Tl: 0.8303 0.3303 0.1697
Tl: 0.1697 0.8303 0.3303
Tl: 0.3303 0.3303 0.3303
Pt: 0.0000 0.5000 0.5000
Pt: 0.5000 0.0000 0.5000
Pt: 0.5000 0.5000 0.0000
Tl: 0.6697 0.6697 0.6697
Tl: 0.8303 0.1697 0.6697
Tl: 0.6697 0.8303 0.1697
Tl: 0.3303 0.1697 0.8303
Pt: 0.0000 0.0000 0.0000
Tl: 0.1697 0.6697 0.8303

---

No. 12
Material: TlPt2
Method: DFT, meta-GGA SCAN
State: single point on PBEsol structure

Results
- V (Å³ per cell) = 119
- formation enthalpy at 0 K (eV/atom) = -0.007
- energy above the most stable polymorph in this dataset (meV/atom) = 18

Lattice parameters (Å, degrees): 4.6129 5.3292 5.5286 118.81 90.00 90.00
Fractional coordinates of all 6 atoms:
Pt: 0.2500 0.8549 0.4597
Tl: 0.2500 0.2675 0.0000
Pt: 0.2500 0.3952 0.5403
Tl: 0.7500 0.7325 0.0000
Pt: 0.7500 0.6048 0.4597
Pt: 0.7500 0.1451 0.5403